Computed, not measured: an optimized crystal structure of HoGa2Pd at the PBE level of DFT.

a = 5.470 Å, b = 6.746 Å, c = 8.206 Å
α = 90.00°, β = 90.00°, γ = 90.00°
Element x y z (fractional)
Ga 0.381 0.552 0.308
Pd 0.367 0.750 0.586
Ga 0.619 0.448 0.692
Pd 0.633 0.250 0.414
Ga 0.881 0.052 0.192
Ho 0.872 0.750 0.461
Ga 0.881 0.448 0.192
Pd 0.867 0.250 0.914
Ga 0.619 0.052 0.692
Ga 0.119 0.948 0.808
Pd 0.133 0.750 0.086
Ga 0.119 0.552 0.808
Ga 0.381 0.948 0.308
Ho 0.128 0.250 0.539
Ho 0.372 0.250 0.039
Ho 0.628 0.750 0.961

Output
theoretical density = 9.01 g/cm3
space group = Pnma (62)
V = 75.7 Å³/f.u.
energy = -74.955 eV per cell

---

Computed, not measured: an optimized crystal structure of Ho6GaPd5 at the PBE level of DFT.

a = 4.981 Å, b = 6.939 Å, c = 7.893 Å
α = 90.00°, β = 108.61°, γ = 90.00°
Element x y z (fractional)
Ho 0.500 0.255 0.000
Pd 0.333 0.500 0.665
Ho 0.832 0.250 0.663
Pd 0.659 0.000 0.319
Pd 0.341 0.000 0.681
Ga 0.000 0.000 0.000
Ho 0.168 0.250 0.337
Pd 0.667 0.500 0.335
Ho 0.168 0.750 0.337
Pd 0.000 0.500 0.000
Ho 0.832 0.750 0.663
Ho 0.500 0.745 0.000

Output
theoretical density = 10.22 g/cm3
space group = P2/m (10)
V = 258.5 Å³/f.u.
energy = -66.617 eV per cell

---

Computed, not measured: an optimized crystal structure of HoGa2Pd at the PBE level of DFT.

a = 4.274 Å, b = 4.274 Å, c = 5.475 Å
α = 67.03°, β = 67.03°, γ = 60.00°
Element x y z (fractional)
Ho 0.000 0.000 0.000
Pd 0.500 0.500 0.500
Ga 0.219 0.219 0.343
Ga 0.781 0.781 0.657

Output
theoretical density = 8.82 g/cm3
space group = R-3m (166)
V = 77.3 Å³/f.u.
energy = -18.630 eV per cell

---

Computed, not measured: an optimized crystal structure of Ho4Ga16Pd3 at the PBE level of DFT.

a = 6.218 Å, b = 6.218 Å, c = 11.037 Å
α = 90.00°, β = 90.00°, γ = 90.00°
Element x y z (fractional)
Ho 0.500 0.000 0.190
Ga 0.500 0.500 0.799
Pd 0.500 0.000 0.500
Pd 0.000 0.000 0.000
Ga 0.256 0.744 0.625
Pd 0.000 0.500 0.500
Ho 0.000 0.500 0.190
Ho 0.000 0.500 0.810
Ga 0.744 0.744 0.375
Ga 0.500 0.500 0.201
Ga 0.744 0.744 0.625
Ga 0.000 0.000 0.768
Ga 0.711 0.711 0.000
Ga 0.711 0.289 0.000
Ga 0.256 0.744 0.375
Ga 0.744 0.256 0.625
Ga 0.000 0.000 0.232
Ga 0.256 0.256 0.625
Ga 0.289 0.711 0.000
Ga 0.256 0.256 0.375
Ho 0.500 0.000 0.810
Ga 0.744 0.256 0.375
Ga 0.289 0.289 0.000

Output
theoretical density = 8.15 g/cm3
space group = P4/mmm (123)
V = 426.8 Å³/f.u.
energy = -95.421 eV per cell

---

Computed, not measured: an optimized crystal structure of HoGa2Pd at the PBE level of DFT.

a = 4.450 Å, b = 4.123 Å, c = 4.123 Å
α = 90.00°, β = 90.00°, γ = 90.00°
Element x y z (fractional)
Ga 0.000 0.500 0.000
Pd 0.500 0.000 0.000
Ho 0.500 0.500 0.500
Ga 0.000 0.000 0.500

Output
theoretical density = 9.02 g/cm3
space group = P4/mmm (123)
V = 75.6 Å³/f.u.
energy = -18.223 eV per cell

---

Computed, not measured: an optimized crystal structure of Ho3Ga4Pd at the PBE level of DFT.

a = 3.555 Å, b = 6.052 Å, c = 9.055 Å
α = 109.52°, β = 101.32°, γ = 90.00°
Element x y z (fractional)
Ga 0.381 0.145 0.763
Ga 0.619 0.383 0.237
Ga 0.381 0.617 0.763
Ga 0.619 0.855 0.237
Pd 0.500 0.000 0.000
Ho 0.225 0.224 0.449
Ho 0.000 0.500 0.000
Ho 0.775 0.776 0.551

Output
theoretical density = 8.14 g/cm3
space group = Immm (71)
V = 179.6 Å³/f.u.
energy = -34.708 eV per cell

---

Computed, not measured: an optimized crystal structure of Ho2Ga9Pd at the PBE level of DFT.

a = 4.233 Å, b = 4.233 Å, c = 12.364 Å
α = 90.00°, β = 90.00°, γ = 90.00°
Element x y z (fractional)
Ga 0.000 0.500 0.146
Ga 0.500 0.000 0.146
Ho 0.000 0.000 0.679
Ga 0.500 0.500 0.000
Ho 0.000 0.000 0.321
Ga 0.000 0.500 0.854
Ga 0.500 0.500 0.662
Pd 0.000 0.000 0.000
Ga 0.500 0.500 0.338
Ga 0.500 0.000 0.854
Ga 0.500 0.000 0.500
Ga 0.000 0.500 0.500

Output
theoretical density = 7.97 g/cm3
space group = P4/mmm (123)
V = 221.5 Å³/f.u.
energy = -46.632 eV per cell

---

Computed, not measured: an optimized crystal structure of Ho5GaPd2 at the PBE level of DFT.

a = 7.713 Å, b = 7.713 Å, c = 8.577 Å
α = 116.72°, β = 116.72°, γ = 90.00°
Element x y z (fractional)
Ga 0.750 0.750 0.500
Ho 0.305 0.805 0.289
Pd 0.134 0.366 0.000
Ho 0.016 0.516 0.711
Ho 0.984 0.484 0.289
Ga 0.250 0.250 0.500
Ho 0.695 0.195 0.711
Pd 0.634 0.134 0.000
Pd 0.866 0.634 0.000
Ho 0.805 0.984 0.289
Ho 0.000 0.000 0.000
Ho 0.516 0.695 0.711
Ho 0.484 0.305 0.289
Ho 0.500 0.500 0.000
Ho 0.195 0.016 0.711
Pd 0.366 0.866 0.000

Output
theoretical density = 9.34 g/cm3
space group = I4/mcm (140)
V = 196.9 Å³/f.u.
energy = -82.488 eV per cell

---

Computed, not measured: an optimized crystal structure of HoGa3Pd at the PBE level of DFT.

a = 5.693 Å, b = 7.653 Å, c = 8.437 Å
α = 96.95°, β = 90.00°, γ = 90.00°
Element x y z (fractional)
Ga 0.164 0.502 0.117
Ga 0.395 0.368 0.769
Ga 0.895 0.132 0.231
Ga 0.605 0.632 0.231
Pd 0.935 0.800 0.044
Ga 0.105 0.868 0.769
Ga 0.336 0.002 0.117
Ho 0.124 0.807 0.376
Ho 0.376 0.307 0.376
Pd 0.065 0.200 0.956
Pd 0.565 0.300 0.044
Ho 0.624 0.693 0.624
Ga 0.382 0.056 0.628
Ga 0.836 0.498 0.883
Ga 0.882 0.444 0.372
Ga 0.118 0.556 0.628
Pd 0.435 0.700 0.956
Ga 0.664 0.998 0.883
Ga 0.618 0.944 0.372
Ho 0.876 0.193 0.624

Output
theoretical density = 8.75 g/cm3
space group = P2_1/c (14)
excess energy over the best structure of this formula in the dataset = 59.4 meV per atom
V = 91.2 Å³/f.u.

---

Computed, not measured: an optimized crystal structure of Ho6Ga2Pd at the PBE level of DFT.

a = 8.437 Å, b = 8.437 Å, c = 8.437 Å
α = 110.01°, β = 111.02°, γ = 107.41°
Element x y z (fractional)
Ho 0.825 0.738 0.563
Ho 0.934 0.742 0.192
Ga 0.124 0.624 0.500
Pd 0.000 0.000 0.000
Ga 0.357 0.000 0.357
Ho 0.175 0.738 0.913
Pd 0.500 0.500 0.000
Ho 0.327 0.035 0.708
Ga 0.876 0.376 0.500
Ga 0.643 0.000 0.643
Ho 0.175 0.262 0.437
Ho 0.673 0.965 0.292
Ho 0.450 0.258 0.192
Ho 0.066 0.258 0.808
Ho 0.825 0.262 0.087
Ho 0.673 0.381 0.708
Ho 0.550 0.742 0.808
Ho 0.327 0.619 0.292

Output
theoretical density = 8.88 g/cm3
space group = Immm (71)
excess energy over the best structure of this formula in the dataset = 0.0 meV per atom
V = 230.9 Å³/f.u.

---

Computed, not measured: an optimized crystal structure of Ho3Ga12Pd at the PBE level of DFT.

a = 4.277 Å, b = 4.277 Å, c = 16.308 Å
α = 90.00°, β = 90.00°, γ = 90.00°
Element x y z (fractional)
Ga 0.000 0.500 0.893
Ga 0.000 0.500 0.369
Ho 0.000 0.000 0.763
Ga 0.000 0.500 0.107
Ho 0.000 0.000 0.237
Ga 0.500 0.500 0.243
Ga 0.500 0.000 0.893
Ga 0.500 0.500 0.000
Ga 0.500 0.000 0.631
Ga 0.000 0.500 0.631
Ga 0.500 0.000 0.107
Ga 0.500 0.500 0.500
Ga 0.500 0.000 0.369
Pd 0.000 0.000 0.000
Ga 0.500 0.500 0.757
Ho 0.000 0.000 0.500

Output
theoretical density = 8.00 g/cm3
space group = P4/mmm (123)
V = 298.3 Å³/f.u.
energy = -62.361 eV per cell

---

Computed, not measured: an optimized crystal structure of Ho2Ga3Pd4 at the PBE level of DFT.

a = 5.571 Å, b = 7.700 Å, c = 8.072 Å
α = 90.00°, β = 110.19°, γ = 90.00°
Element x y z (fractional)
Ho 0.890 0.416 0.781
Pd 0.182 0.980 0.364
Ga 0.481 0.250 0.461
Pd 0.318 0.480 0.636
Ga 0.981 0.250 0.461
Pd 0.682 0.520 0.364
Ga 0.519 0.750 0.539
Ho 0.390 0.084 0.781
Pd 0.309 0.250 0.118
Pd 0.818 0.020 0.636
Ga 0.019 0.750 0.539
Pd 0.191 0.750 0.882
Pd 0.691 0.750 0.882
Ho 0.110 0.584 0.219
Ho 0.610 0.916 0.219
Ga 0.500 0.500 0.000
Pd 0.809 0.250 0.118
Ga 0.000 0.000 0.000

Output
theoretical density = 9.86 g/cm3
space group = Cmce (64)
V = 162.5 Å³/f.u.
energy = -93.362 eV per cell

---

Computed, not measured: an optimized crystal structure of Ho2GaPd4 at the PBE level of DFT.

a = 4.638 Å, b = 4.638 Å, c = 7.856 Å
α = 107.17°, β = 107.17°, γ = 90.00°
Element x y z (fractional)
Ga 0.000 0.000 0.000
Pd 0.173 0.173 0.345
Pd 0.827 0.827 0.655
Pd 0.000 0.500 0.000
Ho 0.638 0.638 0.277
Ho 0.362 0.362 0.723
Pd 0.500 0.000 0.000

Output
theoretical density = 8.92 g/cm3
space group = I4/mmm (139)
V = 153.6 Å³/f.u.
energy = -35.976 eV per cell

---

Computed, not measured: an optimized crystal structure of HoGa6Pd3 at the PBE level of DFT.

a = 6.874 Å, b = 6.917 Å, c = 7.844 Å
α = 110.94°, β = 90.00°, γ = 90.00°
Element x y z (fractional)
Ga 0.689 0.707 0.233
Ga 0.457 0.032 0.173
Ga 0.957 0.468 0.327
Pd 0.827 0.799 0.599
Ga 0.043 0.532 0.673
Ga 0.543 0.968 0.827
Pd 0.000 0.500 0.000
Ga 0.311 0.293 0.767
Ga 0.189 0.793 0.267
Ga 0.811 0.207 0.733
Ga 0.308 0.391 0.131
Ga 0.192 0.891 0.631
Pd 0.500 0.000 0.500
Ga 0.692 0.609 0.869
Ho 0.000 0.000 0.000
Pd 0.673 0.299 0.099
Pd 0.173 0.201 0.401
Ho 0.500 0.500 0.500
Pd 0.327 0.701 0.901
Ga 0.808 0.109 0.369

Output
theoretical density = 8.61 g/cm3
space group = P2_1/c (14)
V = 174.1 Å³/f.u.
energy = -87.110 eV per cell

---

Computed, not measured: an optimized crystal structure of HoGa7Pd5 at the PBE level of DFT.

a = 5.519 Å, b = 6.871 Å, c = 6.871 Å
α = 83.84°, β = 66.32°, γ = 66.32°
Element x y z (fractional)
Ga 0.515 0.795 0.176
Pd 0.733 0.767 0.767
Pd 0.505 0.015 0.474
Ga 0.343 0.657 0.657
Ga 0.263 0.237 0.237
Pd 0.006 0.015 0.474
Ga 0.988 0.355 0.668
Pd 0.505 0.474 0.015
Ga 0.515 0.176 0.795
Ga 0.988 0.668 0.355
Ho 0.999 0.001 0.001
Pd 0.006 0.474 0.015
Ga 0.635 0.365 0.365

Output
theoretical density = 9.02 g/cm3
space group = Imm2 (44)
V = 218.1 Å³/f.u.
energy = -59.454 eV per cell

---

Computed, not measured: an optimized crystal structure of Ho3GaPd2 at the PBE level of DFT.

a = 3.485 Å, b = 3.485 Å, c = 10.751 Å
α = 90.00°, β = 90.00°, γ = 90.00°
Element x y z (fractional)
Pd 0.500 0.500 0.833
Ga 0.500 0.500 0.500
Pd 0.500 0.500 0.167
Ho 0.000 0.000 0.673
Ho 0.000 0.000 0.327
Ho 0.000 0.000 0.000

Output
theoretical density = 9.89 g/cm3
space group = P4/mmm (123)
V = 130.5 Å³/f.u.
energy = -31.964 eV per cell

---

Computed, not measured: an optimized crystal structure of HoGaPd2 at the PBE level of DFT.

a = 3.713 Å, b = 4.433 Å, c = 4.433 Å
α = 90.00°, β = 90.00°, γ = 90.00°
Element x y z (fractional)
Pd 0.000 0.500 0.000
Ga 0.500 0.000 0.000
Ho 0.500 0.500 0.500
Pd 0.000 0.000 0.500

Output
theoretical density = 10.19 g/cm3
space group = P4/mmm (123)
V = 73.0 Å³/f.u.
energy = -20.879 eV per cell

---

Computed, not measured: an optimized crystal structure of HoGa2Pd7 at the PBE level of DFT.

a = 4.122 Å, b = 4.122 Å, c = 10.442 Å
α = 101.38°, β = 101.38°, γ = 90.00°
Element x y z (fractional)
Ga 0.324 0.324 0.649
Pd 0.250 0.750 0.500
Pd 0.898 0.398 0.796
Pd 0.398 0.898 0.796
Ga 0.676 0.676 0.351
Pd 0.602 0.102 0.204
Pd 0.102 0.602 0.204
Ho 0.000 0.000 0.000
Pd 0.500 0.500 0.000
Pd 0.750 0.250 0.500

Output
theoretical density = 10.23 g/cm3
space group = I4/mmm (139)
excess energy over the best structure of this formula in the dataset = 0.0 meV per atom
V = 170.4 Å³/f.u.

---

Computed, not measured: an optimized crystal structure of HoGa3Pd3 at the PBE level of DFT.

a = 6.887 Å, b = 6.887 Å, c = 7.253 Å
α = 61.66°, β = 61.66°, γ = 60.00°
Element x y z (fractional)
Pd 0.076 0.822 0.795
Ho 0.339 0.339 0.983
Pd 0.822 0.307 0.795
Pd 0.924 0.178 0.205
Pd 0.307 0.076 0.795
Ga 0.267 0.900 0.370
Ga 0.537 0.733 0.630
Ho 0.661 0.661 0.017
Ga 0.100 0.537 0.630
Ga 0.463 0.267 0.370
Ga 0.733 0.100 0.630
Ga 0.900 0.463 0.370
Pd 0.178 0.693 0.205
Pd 0.693 0.924 0.205

Output
theoretical density = 9.24 g/cm3
space group = R-3 (148)
excess energy over the best structure of this formula in the dataset = 0.0 meV per atom
V = 124.6 Å³/f.u.

---

Computed, not measured: an optimized crystal structure of HoGa2Pd at the PBE level of DFT.

a = 4.691 Å, b = 4.691 Å, c = 4.691 Å
α = 60.00°, β = 60.00°, γ = 60.00°
Element x y z (fractional)
Ga 0.750 0.750 0.750
Ga 0.250 0.250 0.250
Pd 0.500 0.500 0.500
Ho 0.000 0.000 0.000

Output
theoretical density = 9.34 g/cm3
space group = Fm-3m (225)
V = 73.0 Å³/f.u.
energy = -18.179 eV per cell